(1)
The following is a DFT calculation (GGA-PBE) of an optimized crystal structure of Pm3Cu.

abc: 4.802 4.802 4.802
angles: 90.00 90.00 90.00
Fractional positions:
Pm  0.000  0.000  0.500
Pm  0.000  0.500  0.000
Pm  0.500  0.000  0.000
Cu  0.500  0.500  0.500

Calculated values
Total DFT energy (no corrections) = -4.448 eV/atom
Energy of formation = 0.14 eV per atom
Energy above the lowest structure with this stoichiometry = 214 meV per atom
Magnetic moment = 0.0 μB/f.u.

(2)
The following is a DFT calculation (GGA-PBE) of an optimized crystal structure of Hf2ZrGe.

abc: 3.640 10.751 8.534
angles: 90.00 90.00 90.00
Fractional positions:
Hf  0.000  0.137  0.041
Hf  0.000  0.137  0.459
Hf  0.000  0.863  0.541
Hf  0.000  0.863  0.959
Hf  0.500  0.363  0.541
Hf  0.500  0.363  0.959
Hf  0.500  0.637  0.041
Hf  0.500  0.637  0.459
Zr  0.000  0.439  0.250
Zr  0.000  0.561  0.750
Zr  0.500  0.061  0.750
Zr  0.500  0.939  0.250
Ge  0.000  0.266  0.750
Ge  0.000  0.734  0.250
Ge  0.500  0.234  0.250
Ge  0.500  0.766  0.750

Calculated values
Total DFT energy (no corrections) = -8.735 eV/atom
Energy of formation = -0.47 eV per atom
Magnetic moment = 0.0 μB/f.u.

(3)
The following is a DFT calculation (GGA-PBE) of an optimized crystal structure of TbDy2Tl.

abc: 3.622 12.806 10.309
angles: 90.00 90.00 90.00
Fractional positions:
Tb  0.000  0.040  0.250
Tb  0.000  0.960  0.750
Tb  0.500  0.460  0.750
Tb  0.500  0.540  0.250
Dy  0.000  0.369  0.030
Dy  0.000  0.369  0.470
Dy  0.000  0.631  0.530
Dy  0.000  0.631  0.970
Dy  0.500  0.131  0.530
Dy  0.500  0.131  0.970
Dy  0.500  0.869  0.030
Dy  0.500  0.869  0.470
Tl  0.000  0.243  0.750
Tl  0.000  0.757  0.250
Tl  0.500  0.257  0.250
Tl  0.500  0.743  0.750

Calculated values
Total DFT energy (no corrections) = -4.216 eV/atom
Energy of formation = -0.17 eV per atom
Energy above the lowest structure with this stoichiometry = 21 meV per atom
Magnetic moment = 0.0 μB/f.u.

(4)
The following is a DFT calculation (GGA-PBE) of an optimized crystal structure of Li2CaN2.

abc: 6.265 6.265 2.542
angles: 90.00 90.00 90.00
Fractional positions:
Li  0.114  0.386  0.000
Li  0.386  0.886  0.000
Li  0.614  0.114  0.000
Li  0.886  0.614  0.000
Ca  0.000  0.000  0.000
Ca  0.500  0.500  0.000
N  0.181  0.681  0.500
N  0.319  0.181  0.500
N  0.681  0.819  0.500
N  0.819  0.319  0.500

Calculated values
Total DFT energy (no corrections) = -4.405 eV/atom
Magnetic moment = 0.0 μB/f.u.